No. 1
Below is a relaxed RbGe crystal, with properties calculated at the PBE-GGA level.

Lattice parameters (Å, degrees): 4.279 4.281 10.438 99.15 91.42 119.96
Sites, in units of the cell vectors:
Rb  0.094  0.155  0.278
Rb  0.906  0.845  0.722
Ge  0.347  0.690  0.041
Ge  0.653  0.310  0.959

Values from the calculation:
**Crystal system**: triclinic
**DFT formation energy**: -0.067 eV/atom
**SG**: P-1, No. 2
**Electronic total energy**: -2.8596 eV per atom


No. 2
Below is a relaxed RbGe crystal, with properties calculated at the PBE-GGA level.

Lattice parameters (Å, degrees): 3.541 3.541 12.566 90.00 90.00 120.00
Sites, in units of the cell vectors:
Rb  0.333  0.667  0.000
Rb  0.667  0.333  0.500
Ge  0.333  0.667  0.732
Ge  0.667  0.333  0.232

Values from the calculation:
**Crystal system**: hexagonal
**DFT formation energy**: 0.631 eV/atom
**SG**: P6_3mc, No. 186
**Electronic total energy**: -2.1614 eV per atom


Please write out number 1 again, unchanged.
Below is a relaxed RbGe crystal, with properties calculated at the PBE-GGA level.

Lattice parameters (Å, degrees): 4.279 4.281 10.438 99.15 91.42 119.96
Sites, in units of the cell vectors:
Rb  0.094  0.155  0.278
Rb  0.906  0.845  0.722
Ge  0.347  0.690  0.041
Ge  0.653  0.310  0.959

Values from the calculation:
**Crystal system**: triclinic
**DFT formation energy**: -0.067 eV/atom
**SG**: P-1, No. 2
**Electronic total energy**: -2.8596 eV per atom


> Among the records above, which one has the lowest DFT formation energy?

number 1


> The highest electronic total energy belongs to which entry?

number 2